LaPmZnCu: optimized geometry, PBE.

Unit cell a=3.666 b=3.666 c=7.331 alpha=90.00 beta=90.00 gamma=90.00
Positions (direct):
Pm: 0.500 0.500 0.599
Cu: 0.000 0.000 0.374
La: 0.500 0.500 0.112
Zn: 0.000 0.000 0.843

Computed properties:
As for the crystal system: tetragonal. The calculation puts the theoretical density at 6958 kg/m³. Its space group is P4mm, No. 99. The value obtained for the total energy is -3.9885 eV per atom. The value obtained for the polymorph energy (0 for the lowest one) is 0.000 eV/atom. As for the energy of formation from the pure elements: -87.4 kJ/mol of formula units.



Eu2LuMg: optimized geometry, PBE.

Unit cell a=5.068 b=5.112 c=5.112 alpha=90.00 beta=90.00 gamma=90.00
Each line ends with the local moment (μB).
Positions (direct):
Mg: 0.500 0.000 0.000  0.02
Eu: 0.000 0.500 0.000  6.95
Eu: 0.000 0.000 0.500  6.95
Lu: 0.500 0.500 0.500  0.27

Computed properties:
As for the crystal system: tetragonal. The calculation puts the theoretical density at 6308 kg/m³. Its space group is P4/mmm, No. 123. The value obtained for the total energy is -6.5756 eV per atom. The value obtained for the polymorph energy (0 for the lowest one) is 0.037 eV/atom. As for the energy of formation from the pure elements: 34.9 kJ/mol of formula units.



ZrNi2Te: optimized geometry, PBE.

Unit cell a=4.142 b=3.507 c=4.957 alpha=84.71 beta=90.00 gamma=90.00
Positions (direct):
Ni: 0.500 0.205 0.231
Ni: 0.000 0.188 0.980
Zr: 0.500 0.767 0.807
Te: 0.000 0.340 0.482

Computed properties:
The value obtained for the energy relative to the elements, uncorrected is -0.9 eV/f.u. As for the crystal system: monoclinic. The calculation puts the theoretical density at 7786 kg/m³. Its space group is Pm, No. 6. The value obtained for the total energy is -6.0462 eV per atom.



PuMg2I8: optimized geometry, PBE.

Unit cell a=7.268 b=8.825 c=8.825 alpha=92.67 beta=85.50 gamma=85.50
Each line ends with the local moment (μB).
Positions (direct):
I: 0.255 0.455 0.455  0.09
I: 0.224 0.946 0.278  -0.05
Mg: 0.657 0.767 0.767  0.00
I: 0.730 0.212 0.212  -0.05
I: 0.776 0.722 0.054  -0.05
Pu: 0.000 0.000 0.000  4.98
I: 0.224 0.278 0.946  -0.05
I: 0.776 0.054 0.722  -0.05
I: 0.270 0.788 0.788  -0.05
I: 0.745 0.545 0.545  0.09
Mg: 0.343 0.233 0.233  0.00

Computed properties:
The value obtained for the energy relative to the elements, uncorrected is -9.6 eV/f.u. As for the crystal system: monoclinic. The calculation puts the theoretical density at 3866 kg/m³. Its space group is C2/m, No. 12. The value obtained for the total energy is -3.5941 eV per atom.



Pm2GeSb: optimized geometry, PBE.

Unit cell a=4.323 b=4.323 c=7.728 alpha=73.76 beta=73.76 gamma=60.00
Positions (direct):
Ge: 0.500 0.500 0.500
Sb: 0.000 0.000 0.000
Pm: 0.246 0.246 0.263
Pm: 0.754 0.754 0.737

Computed properties:
The value obtained for the energy relative to the elements, uncorrected is -3.7 eV/f.u. As for the crystal system: trigonal. The calculation puts the theoretical density at 6797 kg/m³. Its space group is R-3m, No. 166. The value obtained for the total energy is -5.4758 eV per atom. The value obtained for the polymorph energy (0 for the lowest one) is 0.055 eV/atom.



Ac2CdP3Pd4: optimized geometry, PBE.

Unit cell a=4.334 b=4.334 c=10.660 alpha=90.00 beta=90.00 gamma=90.00
Positions (direct):
Pd: 0.500 0.000 0.649
Pd: 0.000 0.500 0.351
P: 0.000 0.000 0.500
Cd: 0.500 0.500 0.500
Pd: 0.500 0.500 0.000
P: 0.500 0.000 0.874
Ac: 0.500 0.000 0.235
Pd: 0.000 0.000 0.000
Ac: 0.000 0.500 0.765
P: 0.000 0.500 0.126

Computed properties:
As for the crystal system: tetragonal. The calculation puts the theoretical density at 9000 kg/m³. Its space group is P-4m2, No. 115. The value obtained for the total energy is -5.4471 eV per atom. As for the energy of formation from the pure elements: -804.5 kJ/mol of formula units.



TlNiP2: optimized geometry, PBE.

Unit cell a=4.510 b=4.510 c=3.660 alpha=90.00 beta=90.00 gamma=110.11
Positions (direct):
P: 0.000 0.000 0.000
Tl: 0.500 0.000 0.500
Ni: 0.000 0.500 0.500
P: 0.500 0.500 0.000

Computed properties:
As for the crystal system: orthorhombic. The calculation puts the theoretical density at 7722 kg/m³. Its space group is Cmmm, No. 65. The value obtained for the total energy is -4.1310 eV per atom. The value obtained for the polymorph energy (0 for the lowest one) is 0.730 eV/atom. As for the energy of formation from the pure elements: 235.8 kJ/mol of formula units.



Pr2Nd3Mg3: optimized geometry, PBE.

Unit cell a=3.914 b=5.592 c=11.972 alpha=103.50 beta=99.41 gamma=90.00
Positions (direct):
Nd: 0.378 0.378 0.756
Mg: 0.000 0.500 0.000
Nd: 0.500 0.000 0.000
Pr: 0.735 0.235 0.470
Mg: 0.116 0.116 0.233
Pr: 0.265 0.765 0.530
Mg: 0.884 0.884 0.767
Nd: 0.622 0.622 0.244

Computed properties:
As for the crystal system: orthorhombic. The calculation puts the theoretical density at 5206 kg/m³. Its space group is Immm, No. 71. The value obtained for the total energy is -3.6475 eV per atom. As for the energy of formation from the pure elements: -51.5 kJ/mol of formula units.



BaTc2Rh: optimized geometry, PBE.

Unit cell a=3.992 b=3.086 c=7.136 alpha=82.71 beta=90.00 gamma=90.00
Positions (direct):
Ba: 0.000 0.490 0.522
Rh: 0.500 0.876 0.809
Tc: 0.500 0.279 0.121
Tc: 0.000 0.856 0.048

Computed properties:
As for the crystal system: monoclinic. The calculation puts the theoretical density at 8307 kg/m³. Its space group is Pm, No. 6. The value obtained for the total energy is -6.9536 eV per atom. The value obtained for the polymorph energy (0 for the lowest one) is 0.166 eV/atom. As for the energy of formation from the pure elements: 211.5 kJ/mol of formula units.



Sc2OsCl: optimized geometry, PBE.

Unit cell a=3.086 b=3.086 c=9.432 alpha=90.00 beta=90.00 gamma=90.00
Each line ends with the local moment (μB).
Positions (direct):
Os: 0.500 0.500 0.811  -0.07
Sc: 0.500 0.500 0.278  0.28
Sc: 0.000 0.000 0.975  0.00
Cl: 0.000 0.000 0.436  0.00

Computed properties:
The value obtained for the energy relative to the elements, uncorrected is -0.6 eV/f.u. As for the crystal system: tetragonal. The calculation puts the theoretical density at 5836 kg/m³. Its space group is P4mm, No. 99. The value obtained for the total energy is -6.5746 eV per atom. The value obtained for the polymorph energy (0 for the lowest one) is 0.804 eV/atom.



P2S: optimized geometry, PBE.

Unit cell a=3.447 b=5.653 c=5.774 alpha=118.99 beta=106.72 gamma=90.72
Positions (direct):
P: 0.853 0.644 0.094
S: 0.793 0.702 0.473
P: 0.358 0.382 0.092

Computed properties:
The value obtained for the energy relative to the elements, uncorrected is 0.2 eV/f.u. As for the crystal system: triclinic. The calculation puts the theoretical density at 1684 kg/m³. Its space group is P1, No. 1. The value obtained for the total energy is -4.9141 eV per atom. The value obtained for the polymorph energy (0 for the lowest one) is 0.043 eV/atom.



Sr2Mg: optimized geometry, PBE.

Unit cell a=5.946 b=5.946 c=5.946 alpha=60.00 beta=60.00 gamma=60.00
Positions (direct):
Sr: 0.750 0.750 0.750
Mg: 0.000 0.000 0.000
Sr: 0.250 0.250 0.250

Computed properties:
As for the crystal system: cubic. The calculation puts the theoretical density at 2229 kg/m³. Its space group is Fm-3m, No. 225. The value obtained for the total energy is -1.5077 eV per atom. As for the energy of formation from the pure elements: 42.0 kJ/mol of formula units.